# LiCaGdNi

A relaxed LiCaGdNi crystal (GGA-PBE, the Alexandria database).

Cell and atoms, written as extended XYZ:
```
4
Lattice="0.000 3.540 3.540 3.540 0.000 3.540 3.540 3.540 0.000" Properties=species:S:1:pos:R:3 pbc="T T T"
Li 0.000 0.000 0.000
Ca 1.770 1.770 1.770
Gd 5.310 5.310 5.310
Ni 3.540 3.540 3.540
```

Output
V, Å³/f.u.: 88.7
Density, g/cm3: 4.92


# LiCaGdOs

A relaxed LiCaGdOs crystal (GGA-PBE, the Alexandria database).

Cell and atoms, written as extended XYZ:
```
4
Lattice="0.000 3.503 3.503 3.503 0.000 3.503 3.503 3.503 0.000" Properties=species:S:1:pos:R:3 pbc="T T T"
Li 0.000 0.000 0.000
Ca 5.255 5.255 5.255
Gd 1.752 1.752 1.752
Os 3.503 3.503 3.503
```

Output
V, Å³/f.u.: 86.0
Density, g/cm3: 7.62


# LiCaGdPb

A relaxed LiCaGdPb crystal (GGA-PBE, the Alexandria database).

Cell and atoms, written as extended XYZ:
```
4
Lattice="0.000 3.822 3.822 3.822 0.000 3.822 3.822 3.822 0.000" Properties=species:S:1:pos:R:3 pbc="T T T"
Li 0.000 0.000 0.000
Ca 1.911 1.911 1.911
Gd 5.732 5.732 5.732
Pb 3.822 3.822 3.822
```

Output
V, Å³/f.u.: 111.6
Density, g/cm3: 6.12


Quick rundown of raw total energy, same order as above: -5.972 -7.254 -5.747 eV/atom
Quick rundown of formation energy, same order as above: -11 20 -124 kJ/mol of formula units